## AsRuAu4 (PBE)

Data for a relaxed structure of AsRuAu4.

Properties
Energy of formation from the pure elements (eV per formula unit): 3.78

Cell: 7.7273 7.7273 7.7273 Å, 90.00 90.00 90.00°
With the nearest neighbours (Å) after each atom.
Space group F-43m (No. 216)
Inequivalent atoms, fractional coordinates:
As  0.0000  0.0000  0.0000 (multiplicity 4)  12 Au 3.20, 4 Ru 3.35
Ru  0.2500  0.2500  0.2500 (multiplicity 4)  12 Au 3.20, 4 As 3.35
Au  0.1248  0.1248  0.6248 (multiplicity 16)  6 Au 2.73-2.74